## P
Entry from the Alexandria database: a relaxed LiYInPb crystal (PBE).

Calculated values
Fermi-level density of states (states/eV/f.u.): 1.28
Calculated volume (Å³ per cell): 97.7

Unit cell a=4.463 b=4.638 c=4.720 alpha=90.00 beta=90.00 gamma=90.00
Atoms (fractional coordinates):
Li 0.000 0.000 0.000
Y 0.000 0.500 0.500
In 0.500 0.500 0.000
Pb 0.500 0.000 0.500

---

## Q
Entry from the Alexandria database: a relaxed LiYInPb crystal (PBE).

Calculated values
Fermi-level density of states (states/eV/f.u.): 2.12
Calculated volume (Å³ per cell): 101.1

Unit cell a=5.230 b=5.230 c=5.230 alpha=60.00 beta=60.00 gamma=60.00
Atoms (fractional coordinates):
Li 0.000 0.000 0.000
Y 0.500 0.500 0.500
In 0.750 0.750 0.750
Pb 0.250 0.250 0.250

---

Which one is most stable, and which one is least stable? P is the most stable of them, while Q is the least stable.

---

## P
Entry from the Alexandria database: a relaxed Li2InPd3 crystal (PBE).

Calculated values
Fermi-level density of states (states/eV/f.u.): 1.67
Calculated volume (Å³ per cell): 91.9

Unit cell a=6.530 b=6.530 c=3.538 alpha=90.00 beta=90.00 gamma=142.46
Atoms (fractional coordinates):
Li 0.169 0.831 0.000
Li 0.831 0.169 0.000
In 0.500 0.500 0.000
Pd 0.000 0.000 0.500
Pd 0.328 0.672 0.500
Pd 0.672 0.328 0.500

---

## Q
Entry from the Alexandria database: a relaxed Li2InPd3 crystal (PBE).

Calculated values
Fermi-level density of states (states/eV/f.u.): 1.93
Calculated volume (Å³ per cell): 91.1

Unit cell a=4.400 b=4.400 c=5.432 alpha=90.00 beta=90.00 gamma=120.00
Atoms (fractional coordinates):
Li 0.333 0.667 0.163
Li 0.667 0.333 0.837
In 0.000 0.000 0.500
Pd 0.000 0.000 0.000
Pd 0.333 0.667 0.680
Pd 0.667 0.333 0.320

---

Which one is most stable, and which one is least stable? Q is the most stable of them, while P is the least stable.

---

## P
Entry from the Alexandria database: a relaxed Li8In2Pd crystal (PBE).

Calculated values
Fermi-level density of states (states/eV/f.u.): 3.76
Calculated volume (Å³ per cell): 201.1

Unit cell a=3.037 b=7.370 c=9.815 alpha=68.17 beta=81.11 gamma=89.92
Atoms (fractional coordinates):
Li 0.000 0.000 0.000
Li 0.019 0.604 0.965
Li 0.160 0.151 0.685
Li 0.229 0.594 0.547
Li 0.416 0.254 0.171
Li 0.659 0.808 0.691
Li 0.798 0.329 0.411
Li 0.841 0.888 0.322
In 0.399 0.650 0.205
In 0.585 0.370 0.833
Pd 0.267 0.021 0.472

---

## Q
Entry from the Alexandria database: a relaxed Li8In2Pd crystal (PBE).

Calculated values
Fermi-level density of states (states/eV/f.u.): 3.78
Calculated volume (Å³ per cell): 198.1

Unit cell a=7.065 b=7.065 c=5.963 alpha=105.32 beta=105.32 gamma=43.97
Atoms (fractional coordinates):
Li 0.109 0.109 0.970
Li 0.184 0.687 0.627
Li 0.259 0.259 0.685
Li 0.313 0.816 0.373
Li 0.687 0.184 0.627
Li 0.741 0.741 0.315
Li 0.816 0.313 0.373
Li 0.891 0.891 0.030
In 0.333 0.333 0.195
In 0.667 0.667 0.805
Pd 0.500 0.500 0.000

---

Which one is most stable, and which one is least stable? P is the most stable of them, while Q is the least stable.